1.
## RbAlC (PBE)

Data for RbAlC after structural relaxation.

Properties
Formation energy from the elements in meV/atom: 241

Cell: 3.719 3.719 11.143 Å, 90.00 89.84 90.00°
Element x y z (fractional)
Rb (0.752, 0.250, 0.740)
Rb (0.248, 0.750, 0.260)
Al (0.250, 0.250, 0.000)
Al (0.750, 0.750, 0.000)
C (0.251, 0.750, 0.919)
C (0.749, 0.250, 0.081)

***

2.
## RbAlC (PBE)

Data for RbAlC after structural relaxation.

Properties
Formation energy from the elements in meV/atom: 421

Cell: 3.722 6.618 7.495 Å, 123.25 91.67 105.31°
Element x y z (fractional)
C (0.653, 0.717, 0.503)
Rb (0.480, 0.352, 0.660)
Al (0.640, 0.724, 0.224)
Rb (0.291, 0.052, 0.988)
C (0.118, 0.687, 0.144)
Al (0.131, 0.680, 0.424)

***

3.
## RbAlC2 (PBE)

Data for RbAlC2 after structural relaxation.

Properties
Formation energy from the elements in meV/atom: 1288

Cell: 4.782 4.782 7.197 Å, 70.60 70.60 90.00°
Element x y z (fractional)
C (0.875, 0.625, 0.750)
Al (0.500, 0.500, 0.000)
Al (0.250, 0.750, 0.500)
Rb (0.000, 0.000, 0.000)
C (0.375, 0.125, 0.250)
Rb (0.750, 0.250, 0.500)
C (0.375, 0.625, 0.250)
C (0.375, 0.625, 0.750)

***

4.
## RbAlC (PBE)

Data for RbAlC after structural relaxation.

Properties
Formation energy from the elements in meV/atom: 468

Cell: 6.437 3.418 5.936 Å, 90.00 90.00 90.00°
Element x y z (fractional)
Rb (0.000, 0.000, 0.500)
Al (0.708, 0.000, 0.000)
Al (0.292, 0.000, 0.000)
C (0.109, 0.500, 0.000)
C (0.891, 0.500, 0.000)
Rb (0.500, 0.500, 0.500)

***

5.
## RbAlC (PBE)

Data for RbAlC after structural relaxation.

Properties
Formation energy from the elements in meV/atom: 462

Cell: 3.395 7.326 7.173 Å, 109.17 89.63 103.31°
Element x y z (fractional)
Rb (0.438, 0.584, 0.726)
Rb (0.146, 0.980, 0.378)
Al (0.191, 0.093, 0.911)
Al (0.850, 0.409, 0.218)
C (0.748, 0.201, 0.744)
C (0.806, 0.321, 0.927)

***

6.
## RbAlC (PBE)

Data for RbAlC after structural relaxation.

Properties
Formation energy from the elements in meV/atom: 744

Cell: 5.592 5.592 5.487 Å, 90.00 90.00 110.88°
Element x y z (fractional)
Al (0.500, 0.000, 0.000)
Al (0.000, 0.500, 0.000)
C (0.750, 0.250, 0.183)
Rb (0.250, 0.250, 0.500)
C (0.250, 0.750, 0.817)
Rb (0.750, 0.750, 0.500)

***

7.
## RbAlC3 (PBE)

Data for RbAlC3 after structural relaxation.

Properties
Formation energy from the elements in meV/atom: 4272
Energy above the lowest structure with this stoichiometry in meV/atom: 2018

Cell: 4.503 4.503 4.503 Å, 90.00 90.00 90.00°
Element x y z (fractional)
Rb (0.000, 0.000, 0.000)
Al (0.500, 0.500, 0.500)
C (0.000, 0.000, 0.500)
C (0.500, 0.000, 0.000)
C (0.000, 0.500, 0.000)

***

8.
## RbAlC (PBE)

Data for RbAlC after structural relaxation.

Properties
Formation energy from the elements in meV/atom: 183

Cell: 16.606 6.617 6.617 Å, 137.74 150.73 29.27°
Element x y z (fractional)
Rb (0.164, 0.929, 0.071)
C (0.497, 0.952, 0.048)
Rb (0.836, 0.071, 0.929)
C (0.503, 0.048, 0.952)
Al (0.481, 0.813, 0.187)
Al (0.519, 0.187, 0.813)

***

9.
## Rb3AlC (PBE)

Data for Rb3AlC after structural relaxation.

Properties
Formation energy from the elements in meV/atom: 1170
Energy above the lowest structure with this stoichiometry in meV/atom: 0

Cell: 6.128 6.128 6.128 Å, 90.00 90.00 90.00°
Element x y z (fractional)
Al (0.500, 0.500, 0.500)
Rb (0.000, 0.500, 0.000)
Rb (0.000, 0.000, 0.500)
Rb (0.500, 0.000, 0.000)
C (0.000, 0.000, 0.000)

***

10.
## RbAlC (PBE)

Data for RbAlC after structural relaxation.

Properties
Formation energy from the elements in meV/atom: 642

Cell: 10.499 10.499 8.080 Å, 49.48 49.48 90.00°
Element x y z (fractional)
C (0.255, 0.000, 0.000)
Rb (0.816, 0.500, 0.000)
Al (0.129, 0.129, 0.000)
Al (0.871, 0.871, 0.000)
Rb (0.500, 0.816, 0.000)
Al (0.871, 0.129, 0.000)
C (0.000, 0.745, 0.000)
Rb (0.500, 0.184, 0.000)
Rb (0.184, 0.500, 0.000)
C (0.745, 0.000, 0.000)
C (0.000, 0.255, 0.000)
Al (0.129, 0.871, 0.000)

***

11.
## RbAlC3 (PBE)

Data for RbAlC3 after structural relaxation.

Properties
Formation energy from the elements in meV/atom: 2254
Energy above the lowest structure with this stoichiometry in meV/atom: 0

Cell: 4.183 4.183 4.183 Å, 90.00 90.00 90.00°
Element x y z (fractional)
Rb (0.500, 0.500, 0.500)
C (0.000, 0.500, 0.000)
Al (0.000, 0.000, 0.000)
C (0.000, 0.000, 0.500)
C (0.500, 0.000, 0.000)

***

12.
## RbAlC (PBE)

Data for RbAlC after structural relaxation.

Properties
Formation energy from the elements in meV/atom: 417

Cell: 6.676 3.734 6.272 Å, 90.00 109.52 90.00°
Element x y z (fractional)
C (0.809, 0.873, 0.356)
C (0.191, 0.373, 0.644)
Rb (0.339, 0.367, 0.186)
Al (0.884, 0.373, 0.397)
Rb (0.661, 0.867, 0.814)
Al (0.116, 0.873, 0.603)

***

13.
## RbAlC (PBE)

Data for RbAlC after structural relaxation.

Properties
Formation energy from the elements in meV/atom: 419

Cell: 3.502 3.502 11.266 Å, 90.00 90.00 120.00°
Element x y z (fractional)
Rb (0.000, 0.000, 0.500)
Rb (0.000, 0.000, 0.000)
Al (0.667, 0.333, 0.250)
C (0.667, 0.333, 0.750)
C (0.333, 0.667, 0.250)
Al (0.333, 0.667, 0.750)

***

14.
## RbAlC (PBE)

Data for RbAlC after structural relaxation.

Properties
Formation energy from the elements in meV/atom: 463

Cell: 3.568 7.094 7.088 Å, 108.39 101.14 101.80°
Element x y z (fractional)
Rb (0.240, 0.557, 0.426)
Rb (0.248, 0.913, 0.070)
C (0.908, 0.393, 0.732)
C (0.575, 0.254, 0.592)
Al (0.014, 0.076, 0.590)
Al (0.464, 0.394, 0.909)

***

15.
## RbAlC (PBE)

Data for RbAlC after structural relaxation.

Properties
Formation energy from the elements in meV/atom: 392

Cell: 3.395 7.243 6.491 Å, 95.40 105.33 90.29°
Element x y z (fractional)
Rb (0.363, 0.036, 0.105)
C (0.222, 0.685, 0.798)
Al (0.088, 0.806, 0.533)
Al (0.907, 0.560, 0.169)
C (0.315, 0.620, 0.983)
Rb (0.632, 0.350, 0.625)

***

16.
## RbAlC (PBE)

Data for RbAlC after structural relaxation.

Properties
Formation energy from the elements in meV/atom: 419

Cell: 7.481 3.718 10.412 Å, 90.00 90.00 90.00°
Element x y z (fractional)
Al (0.111, 0.750, 0.003)
Rb (0.005, 0.250, 0.325)
Rb (0.495, 0.750, 0.825)
Al (0.889, 0.250, 0.997)
C (0.329, 0.750, 0.479)
Rb (0.505, 0.250, 0.175)
Rb (0.995, 0.750, 0.675)
Al (0.611, 0.750, 0.497)
C (0.671, 0.250, 0.521)
C (0.171, 0.250, 0.979)
C (0.829, 0.750, 0.021)
Al (0.389, 0.250, 0.503)

***

17.
## RbAlC (PBE)

Data for RbAlC after structural relaxation.

Properties
Formation energy from the elements in meV/atom: 374

Cell: 8.448 8.154 8.154 Å, 142.97 144.79 35.21°
Element x y z (fractional)
C (0.062, 0.613, 0.387)
Rb (0.963, 0.445, 0.555)
C (0.837, 0.774, 0.226)
Al (0.259, 0.651, 0.349)
Al (0.571, 0.003, 0.997)
Rb (0.721, 0.240, 0.760)

***

18.
## Rb2AlRhC (PBE)

Data for Rb2AlRhC after structural relaxation.

Properties
Formation energy from the elements in meV/atom: 791

Cell: 6.288 3.833 6.288 Å, 90.00 90.00 90.00°
Element x y z (fractional)
Al (0.500, 0.500, 0.500)
C (0.000, 0.000, 0.000)
Rb (0.500, 0.000, 0.000)
Rb (0.000, 0.000, 0.500)
Rh (0.000, 0.500, 0.000)

***

19.
## RbSc2AlC (PBE)

Data for RbSc2AlC after structural relaxation.

Properties
Formation energy from the elements in meV/atom: 1737

Cell: 5.229 6.771 5.229 Å, 90.00 90.00 90.00°
Element x y z (fractional)
C (0.500, 0.500, 0.500)
Sc (0.500, 0.000, 0.000)
Sc (0.000, 0.000, 0.500)
Rb (0.000, 0.500, 0.000)
Al (0.000, 0.000, 0.000)

***

20.
## RbScAl2C (PBE)

Data for RbScAl2C after structural relaxation.

Properties
Formation energy from the elements in meV/atom: 1044

Cell: 5.621 4.344 5.621 Å, 90.00 90.00 90.00°
Element x y z (fractional)
Sc (0.000, 0.000, 0.000)
Rb (0.500, 0.500, 0.500)
C (0.000, 0.500, 0.000)
Al (0.500, 0.000, 0.000)
Al (0.000, 0.000, 0.500)

***

21.
## RbAl2TeC (PBE)

Data for RbAl2TeC after structural relaxation.

Properties
Energy relative to the elements, uncorrected in eV/f.u.: 2.99

Cell: 4.401 5.785 4.401 Å, 90.00 90.00 90.00°
Element x y z (fractional)
Rb (0.000, 0.500, 0.000)
Al (0.500, 0.000, 0.000)
C (0.000, 0.000, 0.000)
Te (0.500, 0.500, 0.500)
Al (0.000, 0.000, 0.500)

***

22.
## RbAlTe2C (PBE)

Data for RbAlTe2C after structural relaxation.

Properties
Energy relative to the elements, uncorrected in eV/f.u.: 6.06

Cell: 5.260 7.859 5.260 Å, 90.00 90.00 90.00°
Element x y z (fractional)
Rb (0.000, 0.500, 0.000)
Te (0.000, 0.000, 0.500)
Te (0.500, 0.000, 0.000)
Al (0.000, 0.000, 0.000)
C (0.500, 0.500, 0.500)

***

23.
## Rb2YAlC (PBE)

Data for Rb2YAlC after structural relaxation.

Properties
Formation energy from the elements in meV/atom: 999

Cell: 7.456 3.653 7.456 Å, 90.00 90.00 90.00°
Element x y z (fractional)
Y (0.500, 0.500, 0.500)
Rb (0.500, 0.000, 0.000)
C (0.000, 0.500, 0.000)
Al (0.000, 0.000, 0.000)
Rb (0.000, 0.000, 0.500)

***

24.
## RbAlZn2C (PBE)

Data for RbAlZn2C after structural relaxation.

Properties
Formation energy from the elements in meV/atom: 2035

Cell: 6.378 5.527 6.378 Å, 90.00 90.00 90.00°
Element x y z (fractional)
Zn (0.500, 0.000, 0.000)
C (0.000, 0.500, 0.000)
Rb (0.000, 0.000, 0.000)
Zn (0.000, 0.000, 0.500)
Al (0.500, 0.500, 0.500)

***

25.
## Al2Re2C (PBE)

Data for Al2Re2C after structural relaxation.

Properties
Formation energy from the elements in meV/atom: 860

Cell: 5.444 5.444 4.565 Å, 90.00 90.00 90.00°
Element x y z (fractional)
Al (0.166, 0.334, 0.000)
Re (0.663, 0.837, 0.500)
Re (0.837, 0.337, 0.500)
Re (0.163, 0.663, 0.500)
C (0.000, 0.000, 0.000)
Al (0.666, 0.166, 0.000)
Re (0.337, 0.163, 0.500)
C (0.500, 0.500, 0.000)
Al (0.834, 0.666, 0.000)
Al (0.334, 0.834, 0.000)

***

26.
## AlRe2C (PBE)

Data for AlRe2C after structural relaxation.

Properties
Formation energy from the elements in meV/atom: 1158
Energy above the lowest structure with this stoichiometry in meV/atom: 70

Cell: 4.132 4.132 4.132 Å, 60.00 60.00 60.00°
Element x y z (fractional)
C (0.000, 0.000, 0.000)
Re (0.250, 0.250, 0.250)
Al (0.500, 0.500, 0.500)
Re (0.750, 0.750, 0.750)

***

27.
## AlRe2C (PBE)

Data for AlRe2C after structural relaxation.

Properties
Formation energy from the elements in meV/atom: 1088
Energy above the lowest structure with this stoichiometry in meV/atom: 0

Cell: 4.767 4.767 6.896 Å, 69.78 69.78 90.00°
Element x y z (fractional)
Re (0.375, 0.511, 0.750)
Al (0.750, 0.250, 0.500)
Re (0.261, 0.625, 0.250)
Re (0.489, 0.125, 0.250)
C (0.250, 0.750, 0.500)
Re (0.875, 0.739, 0.750)
C (0.500, 0.500, 0.000)
Al (0.000, 0.000, 0.000)

***

Taking the records one at a time from the top gives spin magnetization values of 0.0; 0.0; 0.0; 0.0; 0.0; 0.0; 1.0; 0.0; 0.2; 0.0; 0.0; 0.0; 0.0; 0.0; 0.0; 0.0; 0.0; 0.5; 1.9; 0.0; 0.0; 2.7; 2.0; 2.4; 0.0; 0.0; 0.0 μB per formula unit.
Taking the records one at a time from the top gives DFT total energy values of -4.404; -4.223; -4.502; -4.177; -4.183; -3.900; -2.204; -4.462; -2.004; -4.002; -4.222; -4.228; -4.226; -4.182; -4.253; -4.226; -4.271; -3.660; -3.583; -3.758; -3.565; -2.831; -3.274; -1.262; -7.461; -8.308; -8.378 eV per atom.